[1]
A plane-wave DFT calculation with GGA-PBE was carried out for a relaxed Co2AgSn8 crystal.

abc: 4.8177 8.0590 8.0590
angles: 62.98 87.15 87.15
Fractional coordinates of all 11 atoms:
Ag (0.0000, 0.0000, 0.0000)
Co (0.2351, 0.1758, 0.1758)
Co (0.7649, 0.8242, 0.8242)
Sn (0.1743, 0.3633, 0.3633)
Sn (0.6943, 0.1700, 0.6464)
Sn (0.7288, 0.1998, 0.1998)
Sn (0.3057, 0.8300, 0.3536)
Sn (0.2712, 0.8002, 0.8002)
Sn (0.3057, 0.3536, 0.8300)
Sn (0.8257, 0.6367, 0.6367)
Sn (0.6943, 0.6464, 0.1700)

Computed properties:
* energy of formation from the pure elements: 2.7 kcal/mol of atoms
* symmetry: C2/m


[2]
A plane-wave DFT calculation with GGA-PBE was carried out for a relaxed Na2NpAlS4 crystal.

abc: 3.7743 6.7494 6.9963
angles: 108.10 90.00 90.00
Fractional coordinates of all 8 atoms:
Na (0.5000, 0.0000, 0.5000)
Na (0.0000, 0.5000, 0.5000)
S (0.5000, 0.2127, 0.2061)
S (0.0000, 0.7677, 0.2210)
S (0.0000, 0.2323, 0.7790)
S (0.5000, 0.7873, 0.7939)
Al (0.0000, 0.0000, 0.0000)
Np (0.5000, 0.5000, 0.0000)

Computed properties:
* formation energy (no corrections): -898 kJ/mol of formula units
* symmetry: P2/m


[3]
A plane-wave DFT calculation with GGA-PBE was carried out for a relaxed YZrFe2 crystal.

abc: 4.5922 4.5922 4.5922
angles: 119.99 120.04 89.98
Fractional coordinates of all 4 atoms:
Y (0.7500, 0.2500, 0.5000)
Fe (0.0000, 0.0000, 0.0000)
Fe (0.5000, 0.5000, 0.0000)
Zr (0.2500, 0.7500, 0.5000)

Computed properties:
* energy above the lowest structure with this stoichiometry: 87 meV per atom
* energy of formation from the pure elements: 1.7 kcal/mol of atoms
* symmetry: Fm-3m


[4]
A plane-wave DFT calculation with GGA-PBE was carried out for a relaxed KNaCa2Tl crystal.

abc: 6.1534 6.1534 6.1747
angles: 90.00 90.00 90.00
Fractional coordinates of all 5 atoms:
Ca (0.5000, 0.0000, 0.0000)
Ca (0.0000, 0.5000, 0.0000)
Na (0.0000, 0.0000, 0.5000)
Tl (0.0000, 0.0000, 0.0000)
K (0.5000, 0.5000, 0.5000)

Computed properties:
* energy of formation from the pure elements: 0.2 kcal/mol of atoms
* symmetry: P4/mmm


[5]
A plane-wave DFT calculation with GGA-PBE was carried out for a relaxed Sr2BCl crystal.

abc: 7.5242 7.5242 6.9280
angles: 57.11 57.11 90.00
Fractional coordinates of all 8 atoms:
B (0.2500, 0.7500, 0.5000)
B (0.5000, 0.5000, 0.0000)
Sr (0.1542, 0.6250, 0.2500)
Sr (0.5958, 0.1250, 0.2500)
Sr (0.8750, 0.8458, 0.7500)
Sr (0.3750, 0.4042, 0.7500)
Cl (0.7500, 0.2500, 0.5000)
Cl (0.0000, 0.0000, 0.0000)

Computed properties:
* formation energy (no corrections): -119 kJ/mol of formula units
* energy above the lowest structure with this stoichiometry: 0 meV per atom
* symmetry: I-42d


[6]
A plane-wave DFT calculation with GGA-PBE was carried out for a relaxed NaTcNi crystal.

abc: 2.5980 10.0442 4.4640
angles: 94.41 90.00 97.52
Fractional coordinates of all 6 atoms:
Ni (0.3044, 0.8315, 0.6665)
Ni (0.2047, 0.6350, 0.3088)
Tc (0.8081, 0.8391, 0.1610)
Tc (0.7008, 0.6272, 0.8140)
Na (0.5769, 0.3774, 0.2670)
Na (0.9354, 0.0888, 0.7068)

Computed properties:
* energy above the lowest structure with this stoichiometry: 103 meV per atom
* energy of formation from the pure elements: 7.9 kcal/mol of atoms
* symmetry: P1


[7]
A plane-wave DFT calculation with GGA-PBE was carried out for a relaxed LaTlVS2 crystal.

abc: 4.6569 5.2198 4.6569
angles: 90.00 90.00 90.00
Fractional coordinates of all 5 atoms:
S (0.5000, 0.0000, 0.0000)
S (0.0000, 0.0000, 0.5000)
La (0.5000, 0.5000, 0.5000)
Tl (0.0000, 0.5000, 0.0000)
V (0.0000, 0.0000, 0.0000)

Computed properties:
* formation energy (no corrections): -277 kJ/mol of formula units
* symmetry: P4/mmm


[8]
A plane-wave DFT calculation with GGA-PBE was carried out for a relaxed Fe2CoGe crystal.

abc: 3.4644 3.4644 9.0050
angles: 78.91 78.91 90.00
Fractional coordinates of all 8 atoms:
Fe (0.3750, 0.3714, 0.7500)
Fe (0.8750, 0.8786, 0.7500)
Fe (0.6286, 0.1250, 0.2500)
Fe (0.1214, 0.6250, 0.2500)
Co (0.2500, 0.7500, 0.5000)
Co (0.5000, 0.5000, 0.0000)
Ge (0.0000, 0.0000, 0.0000)
Ge (0.7500, 0.2500, 0.5000)

Computed properties:
* energy of formation from the pure elements: 6.9 kcal/mol of atoms
* symmetry: I-42d


[9]
A plane-wave DFT calculation with GGA-PBE was carried out for a relaxed KNa2MoS4 crystal.

abc: 7.2477 7.2477 6.5859
angles: 122.76 122.76 90.95
Fractional coordinates of all 8 atoms:
Na (0.7568, 0.2568, 0.5135)
Na (0.2568, 0.7568, 0.5135)
S (0.5278, 0.5278, 0.6913)
S (0.4682, 0.8293, 0.2975)
S (0.8293, 0.4682, 0.2975)
S (0.1635, 0.1635, 0.6913)
Mo (0.4983, 0.4983, 0.9965)
K (0.9997, 0.9997, 0.9995)

Computed properties:
* formation energy (no corrections): -694 kJ/mol of formula units
* symmetry: Fmm2


[10]
A plane-wave DFT calculation with GGA-PBE was carried out for a relaxed Pb2C crystal.

abc: 3.5954 3.5954 7.2359
angles: 90.00 90.00 120.00
Fractional coordinates of all 3 atoms:
Pb (0.0000, 0.0000, 0.2931)
Pb (0.0000, 0.0000, 0.7069)
C (0.3333, 0.6667, 0.5000)

Computed properties:
* energy above the lowest structure with this stoichiometry: 83 meV per atom
* energy of formation from the pure elements: 26.0 kcal/mol of atoms
* symmetry: P-6m2


[11]
A plane-wave DFT calculation with GGA-PBE was carried out for a relaxed Cs3MoAu crystal.

abc: 6.9019 6.9019 6.9019
angles: 90.00 90.00 90.00
Fractional coordinates of all 5 atoms:
Cs (0.0000, 0.5000, 0.0000)
Cs (0.0000, 0.0000, 0.5000)
Cs (0.5000, 0.0000, 0.0000)
Mo (0.5000, 0.5000, 0.5000)
Au (0.0000, 0.0000, 0.0000)

Computed properties:
* energy above the lowest structure with this stoichiometry: 0 meV per atom
* energy of formation from the pure elements: 20.0 kcal/mol of atoms
* symmetry: Pm-3m


[12]
A plane-wave DFT calculation with GGA-PBE was carried out for a relaxed SmZnCdCu crystal.

abc: 4.8146 4.8146 4.8146
angles: 60.00 60.00 60.00
Fractional coordinates of all 4 atoms:
Cd (0.7500, 0.7500, 0.7500)
Cu (0.5000, 0.5000, 0.5000)
Sm (0.2500, 0.2500, 0.2500)
Zn (0.0000, 0.0000, 0.0000)

Computed properties:
* energy of formation from the pure elements: -6.1 kcal/mol of atoms
* symmetry: F-43m